Below is a relaxed Hf3CrRu crystal, with properties calculated at the GGA-PBE level.

Computed properties:
**V**: 24.33 Å³/atom
**Energy of formation from the pure elements**: 0.6010 eV/atom
**Excess energy over the best structure of this formula in the dataset**: 0.000 eV/atom
**DFT total energy**: -9.151 eV per atom
**M_tot**: 3.39 Bohr magnetons per cell

Lattice parameters (Å, degrees): 4.955 4.955 4.955 90.00 90.00 90.00
Positions (direct):
1 Hf 0.500 0.000 0.000
2 Hf 0.000 0.500 0.000
3 Hf 0.000 0.000 0.500
4 Ru 0.000 0.000 0.000
5 Cr 0.500 0.500 0.500